Arrangement one

# YBeBr2, optimized geometry, DFT PBE-GGA
data_YBeBr2
_cell_length_a 4.598
_cell_length_b 4.598
_cell_length_c 4.290
_cell_angle_alpha 90.00
_cell_angle_beta 90.00
_cell_angle_gamma 90.00
_symmetry_space_group_name_H-M 'P 4/m m m'
_symmetry_Int_Tables_number 123
_symmetry_space_group_name_Hall '-P 4 2'
loop_
_atom_site_label
_atom_site_fract_x
_atom_site_fract_y
_atom_site_fract_z
Y1 0.000 0.000 0.000
Be1 0.500 0.500 0.000
Br1 0.000 0.500 0.500
# DOS at the Fermi energy: 1.45 states/eV per cell

Arrangement two

# YBeBr2, optimized geometry, DFT PBE-GGA
data_YBeBr2
_cell_length_a 3.5354
_cell_length_b 3.5354
_cell_length_c 26.3634
_cell_angle_alpha 90.00
_cell_angle_beta 90.00
_cell_angle_gamma 120.00
_symmetry_space_group_name_H-M 'R -3 m'
_symmetry_Int_Tables_number 166
_symmetry_space_group_name_Hall '-R 3 2"'
loop_
_atom_site_label
_atom_site_fract_x
_atom_site_fract_y
_atom_site_fract_z
Y1 0.0000 0.0000 0.0000
Be1 0.0000 0.0000 0.5000
Br1 0.0000 0.0000 0.1139
# DOS at the Fermi energy: 7.34 states/eV per cell

Arrangement three

# YBeBr2, optimized geometry, DFT PBE-GGA
data_YBeBr2
_cell_length_a 3.926
_cell_length_b 4.694
_cell_length_c 5.695
_cell_angle_alpha 90.00
_cell_angle_beta 90.63
_cell_angle_gamma 90.00
_symmetry_space_group_name_H-M 'P 1 2/m 1'
_symmetry_Int_Tables_number 10
_symmetry_space_group_name_Hall '-P 2y'
loop_
_atom_site_label
_atom_site_fract_x
_atom_site_fract_y
_atom_site_fract_z
Y1 0.000 0.000 0.000
Be1 0.500 0.000 0.500
Br1 0.226 0.500 0.751
# DOS at the Fermi energy: 2.45 states/eV per cell

Winner for stability: arrangement two

Arrangement one

# YBeBr, optimized geometry, DFT PBE-GGA
data_YBeBr
_cell_length_a 6.631
_cell_length_b 6.631
_cell_length_c 6.631
_cell_angle_alpha 90.00
_cell_angle_beta 90.00
_cell_angle_gamma 90.00
_symmetry_space_group_name_H-M 'F -4 3 m'
_symmetry_Int_Tables_number 216
_symmetry_space_group_name_Hall 'F -4 2 3'
loop_
_atom_site_label
_atom_site_fract_x
_atom_site_fract_y
_atom_site_fract_z
Y1 0.000 0.000 0.000
Be1 0.000 0.000 0.500
Br1 0.250 0.250 0.250
# DOS at the Fermi energy: 7.83 states/eV per cell

Arrangement two

# YBeBr, optimized geometry, DFT PBE-GGA
data_YBeBr
_cell_length_a 6.623
_cell_length_b 6.623
_cell_length_c 6.623
_cell_angle_alpha 90.00
_cell_angle_beta 90.00
_cell_angle_gamma 90.00
_symmetry_space_group_name_H-M 'F -4 3 m'
_symmetry_Int_Tables_number 216
_symmetry_space_group_name_Hall 'F -4 2 3'
loop_
_atom_site_label
_atom_site_fract_x
_atom_site_fract_y
_atom_site_fract_z
Y1 0.000 0.000 0.000
Be1 0.250 0.250 0.750
Br1 0.000 0.000 0.500
# DOS at the Fermi energy: 13.52 states/eV per cell

Winner for stability: arrangement one

Arrangement one

# YBe3Br, optimized geometry, DFT PBE-GGA
data_YBe3Br
_cell_length_a 4.538
_cell_length_b 4.538
_cell_length_c 4.538
_cell_angle_alpha 90.00
_cell_angle_beta 90.00
_cell_angle_gamma 90.00
_symmetry_space_group_name_H-M 'P m -3 m'
_symmetry_Int_Tables_number 221
_symmetry_space_group_name_Hall '-P 4 2 3'
loop_
_atom_site_label
_atom_site_fract_x
_atom_site_fract_y
_atom_site_fract_z
Y1 0.000 0.000 0.000
Be1 0.000 0.500 0.500
Br1 0.500 0.500 0.500
# DOS at the Fermi energy: 3.94 states/eV per cell

Arrangement two

# YBe3Br, optimized geometry, DFT PBE-GGA
data_YBe3Br
_cell_length_a 5.495
_cell_length_b 5.495
_cell_length_c 5.495
_cell_angle_alpha 90.00
_cell_angle_beta 90.00
_cell_angle_gamma 90.00
_symmetry_space_group_name_H-M 'P m -3 m'
_symmetry_Int_Tables_number 221
_symmetry_space_group_name_Hall '-P 4 2 3'
loop_
_atom_site_label
_atom_site_fract_x
_atom_site_fract_y
_atom_site_fract_z
Y1 0.000 0.000 0.000
Be1 0.000 0.000 0.500
Br1 0.500 0.500 0.500
# DOS at the Fermi energy: 10.92 states/eV per cell

Winner for stability: arrangement one

Arrangement one

# BeZn2Br, optimized geometry, DFT PBE-GGA
data_BeZn2Br
_cell_length_a 3.017
_cell_length_b 3.017
_cell_length_c 7.570
_cell_angle_alpha 90.00
_cell_angle_beta 90.00
_cell_angle_gamma 90.00
_symmetry_space_group_name_H-M 'P 4/m m m'
_symmetry_Int_Tables_number 123
_symmetry_space_group_name_Hall '-P 4 2'
loop_
_atom_site_label
_atom_site_fract_x
_atom_site_fract_y
_atom_site_fract_z
Be1 0.000 0.000 0.000
Zn1 0.500 0.500 0.185
Br1 0.000 0.000 0.500
# DOS at the Fermi energy: 1.43 states/eV per cell

Arrangement two

# BeZn2Br, optimized geometry, DFT PBE-GGA
data_BeZn2Br
_cell_length_a 3.564
_cell_length_b 3.152
_cell_length_c 7.888
_cell_angle_alpha 90.00
_cell_angle_beta 101.41
_cell_angle_gamma 90.00
_symmetry_space_group_name_H-M 'P 1 m 1'
_symmetry_Int_Tables_number 6
_symmetry_space_group_name_Hall 'P -2y'
loop_
_atom_site_label
_atom_site_fract_x
_atom_site_fract_y
_atom_site_fract_z
Be1 0.000 0.000 0.000
Zn1 0.143 0.000 0.320
Zn2 0.582 0.500 0.182
Br1 0.915 0.500 0.805
# DOS at the Fermi energy: 1.18 states/eV per cell

Arrangement three

# BeZn2Br, optimized geometry, DFT PBE-GGA
data_BeZn2Br
_cell_length_a 6.842
_cell_length_b 6.842
_cell_length_c 6.842
_cell_angle_alpha 90.00
_cell_angle_beta 90.00
_cell_angle_gamma 90.00
_symmetry_space_group_name_H-M 'F m -3 m'
_symmetry_Int_Tables_number 225
_symmetry_space_group_name_Hall '-F 4 2 3'
loop_
_atom_site_label
_atom_site_fract_x
_atom_site_fract_y
_atom_site_fract_z
Be1 0.000 0.000 0.000
Zn1 0.250 0.250 0.250
Br1 0.000 0.000 0.500
# DOS at the Fermi energy: 13.47 states/eV per cell

Arrangement four

# BeZn2Br, optimized geometry, DFT PBE-GGA
data_BeZn2Br
_cell_length_a 6.224
_cell_length_b 6.224
_cell_length_c 9.682
_cell_angle_alpha 90.00
_cell_angle_beta 90.00
_cell_angle_gamma 90.00
_symmetry_space_group_name_H-M 'I -4 2 d'
_symmetry_Int_Tables_number 122
_symmetry_space_group_name_Hall 'I -4 2bw'
loop_
_atom_site_label
_atom_site_fract_x
_atom_site_fract_y
_atom_site_fract_z
Be1 0.000 0.000 0.000
Zn1 0.190 0.250 0.125
Br1 0.000 0.000 0.500
# DOS at the Fermi energy: 5.85 states/eV per cell

Winner for stability: arrangement two

Arrangement one

# BeZn2Br, optimized geometry, DFT PBE-GGA
data_BeZn2Br
_cell_length_a 3.632
_cell_length_b 3.632
_cell_length_c 11.516
_cell_angle_alpha 90.00
_cell_angle_beta 90.00
_cell_angle_gamma 90.00
_symmetry_space_group_name_H-M 'I 4/m m m'
_symmetry_Int_Tables_number 139
_symmetry_space_group_name_Hall '-I 4 2'
loop_
_atom_site_label
_atom_site_fract_x
_atom_site_fract_y
_atom_site_fract_z
Be1 0.000 0.000 0.000
Zn1 0.000 0.500 0.250
Br1 0.000 0.000 0.500
# DOS at the Fermi energy: 2.23 states/eV per cell

Arrangement two

# BeZn2Br, optimized geometry, DFT PBE-GGA
data_BeZn2Br
_cell_length_a 3.3498
_cell_length_b 3.3498
_cell_length_c 21.8649
_cell_angle_alpha 90.00
_cell_angle_beta 90.00
_cell_angle_gamma 120.00
_symmetry_space_group_name_H-M 'R -3 m'
_symmetry_Int_Tables_number 166
_symmetry_space_group_name_Hall '-R 3 2"'
loop_
_atom_site_label
_atom_site_fract_x
_atom_site_fract_y
_atom_site_fract_z
Be1 0.0000 0.0000 0.0000
Zn1 0.0000 0.0000 0.2629
Br1 0.0000 0.0000 0.5000
# DOS at the Fermi energy: 4.90 states/eV per cell

Arrangement three

# BeZn2Br, optimized geometry, DFT PBE-GGA
data_BeZn2Br
_cell_length_a 7.372
_cell_length_b 4.221
_cell_length_c 5.845
_cell_angle_alpha 90.00
_cell_angle_beta 109.28
_cell_angle_gamma 90.00
_symmetry_space_group_name_H-M 'C 1 m 1'
_symmetry_Int_Tables_number 8
_symmetry_space_group_name_Hall 'C -2y'
loop_
_atom_site_label
_atom_site_fract_x
_atom_site_fract_y
_atom_site_fract_z
Be1 0.000 0.000 0.000
Zn1 0.145 0.500 0.919
Zn2 0.305 0.000 0.889
Br1 0.072 0.000 0.390
# DOS at the Fermi energy: 1.96 states/eV per cell

Arrangement four

# BeZn2Br, optimized geometry, DFT PBE-GGA
data_BeZn2Br
_cell_length_a 5.072
_cell_length_b 8.238
_cell_length_c 3.618
_cell_angle_alpha 90.00
_cell_angle_beta 103.74
_cell_angle_gamma 90.00
_symmetry_space_group_name_H-M 'C 1 2/m 1'
_symmetry_Int_Tables_number 12
_symmetry_space_group_name_Hall '-C 2y'
loop_
_atom_site_label
_atom_site_fract_x
_atom_site_fract_y
_atom_site_fract_z
Be1 0.000 0.000 0.000
Zn1 0.250 0.250 0.500
Br1 0.000 0.500 0.000
# DOS at the Fermi energy: 2.10 states/eV per cell

Winner for stability: arrangement three

Arrangement one

# BeZn2Br, optimized geometry, DFT PBE-GGA
data_BeZn2Br
_cell_length_a 3.287
_cell_length_b 5.963
_cell_length_c 8.434
_cell_angle_alpha 90.00
_cell_angle_beta 90.00
_cell_angle_gamma 90.00
_symmetry_space_group_name_H-M 'C m m 2'
_symmetry_Int_Tables_number 35
_symmetry_space_group_name_Hall 'C 2 -2'
loop_
_atom_site_label
_atom_site_fract_x
_atom_site_fract_y
_atom_site_fract_z
Be1 0.000 0.000 0.000
Zn1 0.000 0.000 0.448
Zn2 0.000 0.500 0.211
Br1 0.000 0.500 0.821
# DOS at the Fermi energy: 1.44 states/eV per cell

Arrangement two

# BeZn2Br, optimized geometry, DFT PBE-GGA
data_BeZn2Br
_cell_length_a 4.969
_cell_length_b 8.321
_cell_length_c 3.606
_cell_angle_alpha 90.00
_cell_angle_beta 90.00
_cell_angle_gamma 90.00
_symmetry_space_group_name_H-M 'C m m m'
_symmetry_Int_Tables_number 65
_symmetry_space_group_name_Hall '-C 2 2'
loop_
_atom_site_label
_atom_site_fract_x
_atom_site_fract_y
_atom_site_fract_z
Be1 0.000 0.000 0.000
Zn1 0.250 0.250 0.500
Br1 0.000 0.500 0.000
# DOS at the Fermi energy: 1.94 states/eV per cell

Arrangement three

# BeZn2Br, optimized geometry, DFT PBE-GGA
data_BeZn2Br
_cell_length_a 7.253
_cell_length_b 4.182
_cell_length_c 6.190
_cell_angle_alpha 90.00
_cell_angle_beta 112.00
_cell_angle_gamma 90.00
_symmetry_space_group_name_H-M 'C 1 2/m 1'
_symmetry_Int_Tables_number 12
_symmetry_space_group_name_Hall '-C 2y'
loop_
_atom_site_label
_atom_site_fract_x
_atom_site_fract_y
_atom_site_fract_z
Be1 0.000 0.000 0.000
Zn1 0.148 0.500 0.943
Br1 0.000 0.500 0.500
# DOS at the Fermi energy: 2.18 states/eV per cell

Arrangement four

# BeZn2Br, optimized geometry, DFT PBE-GGA
data_BeZn2Br
_cell_length_a 3.707
_cell_length_b 3.707
_cell_length_c 11.539
_cell_angle_alpha 90.00
_cell_angle_beta 90.00
_cell_angle_gamma 90.00
_symmetry_space_group_name_H-M 'I -4 m 2'
_symmetry_Int_Tables_number 119
_symmetry_space_group_name_Hall 'I -4 -2'
loop_
_atom_site_label
_atom_site_fract_x
_atom_site_fract_y
_atom_site_fract_z
Be1 0.000 0.000 0.000
Zn1 0.000 0.000 0.500
Zn2 0.000 0.500 0.250
Br1 0.000 0.500 0.750
# DOS at the Fermi energy: 2.18 states/eV per cell

Winner for stability: arrangement three

Arrangement one

# Be2ZnBr2, optimized geometry, DFT PBE-GGA
data_Be2ZnBr2
_cell_length_a 10.079
_cell_length_b 10.079
_cell_length_c 3.397
_cell_angle_alpha 90.00
_cell_angle_beta 90.00
_cell_angle_gamma 90.00
_symmetry_space_group_name_H-M 'P 4/m b m'
_symmetry_Int_Tables_number 127
_symmetry_space_group_name_Hall '-P 4 2ab'
loop_
_atom_site_label
_atom_site_fract_x
_atom_site_fract_y
_atom_site_fract_z
Be1 0.073 0.427 0.000
Zn1 0.000 0.000 0.000
Br1 0.169 0.331 0.500
# DOS at the Fermi energy: 0.00 states/eV per cell

Arrangement two

# Be2ZnBr2, optimized geometry, DFT PBE-GGA
data_Be2ZnBr2
_cell_length_a 4.642
_cell_length_b 4.642
_cell_length_c 9.225
_cell_angle_alpha 90.00
_cell_angle_beta 90.00
_cell_angle_gamma 90.00
_symmetry_space_group_name_H-M 'I 4/m m m'
_symmetry_Int_Tables_number 139
_symmetry_space_group_name_Hall '-I 4 2'
loop_
_atom_site_label
_atom_site_fract_x
_atom_site_fract_y
_atom_site_fract_z
Be1 0.000 0.000 0.118
Zn1 0.000 0.000 0.500
Br1 0.000 0.500 0.250
# DOS at the Fermi energy: 0.00 states/eV per cell

Winner for stability: arrangement one

Arrangement one

# BeZnBr, optimized geometry, DFT PBE-GGA
data_BeZnBr
_cell_length_a 3.304
_cell_length_b 6.532
_cell_length_c 12.126
_cell_angle_alpha 90.00
_cell_angle_beta 90.00
_cell_angle_gamma 90.00
_symmetry_space_group_name_H-M 'F m m 2'
_symmetry_Int_Tables_number 42
_symmetry_space_group_name_Hall 'F 2 -2'
loop_
_atom_site_label
_atom_site_fract_x
_atom_site_fract_y
_atom_site_fract_z
Be1 0.000 0.000 0.000
Zn1 0.000 0.000 0.363
Br1 0.000 0.000 0.626
# DOS at the Fermi energy: 3.54 states/eV per cell

Arrangement two

# BeZnBr, optimized geometry, DFT PBE-GGA
data_BeZnBr
_cell_length_a 3.152
_cell_length_b 3.152
_cell_length_c 11.374
_cell_angle_alpha 90.00
_cell_angle_beta 90.00
_cell_angle_gamma 90.00
_symmetry_space_group_name_H-M 'I 4 m m'
_symmetry_Int_Tables_number 107
_symmetry_space_group_name_Hall 'I 4 -2'
loop_
_atom_site_label
_atom_site_fract_x
_atom_site_fract_y
_atom_site_fract_z
Be1 0.000 0.000 0.000
Zn1 0.000 0.000 0.603
Br1 0.000 0.000 0.357
# DOS at the Fermi energy: 1.38 states/eV per cell

Winner for stability: arrangement one